{"formula": "RbCu4Te2", "functional": "PBE", "state": "relaxed", "cell": [[2.142, 1.237, 9.805], [-2.142, 1.237, 9.805], [0.000, -2.473, 9.805]], "species": ["Rb", "Cu", "Cu", "Cu", "Cu", "Te", "Te"], "frac_coords": [[0.000, 0.000, 0.000], [0.157, 0.157, 0.157], [0.457, 0.457, 0.457], [0.543, 0.543, 0.543], [0.843, 0.843, 0.843], [0.245, 0.245, 0.245], [0.755, 0.755, 0.755]], "formation_energy_uncorrected_ev_per_atom": -0.1663, "energy_ev_per_atom": -3.54}

---

{"formula": "RbIn3Bi", "functional": "PBE", "state": "relaxed", "cell": [[6.076, 0.000, 0.000], [0.000, 6.076, 0.000], [0.000, 0.000, 6.076]], "species": ["Rb", "In", "In", "In", "Bi"], "frac_coords": [[0.000, 0.000, 0.000], [0.000, 0.500, 0.500], [0.500, 0.000, 0.500], [0.500, 0.500, 0.000], [0.500, 0.500, 0.500]], "energy_ev_per_atom": -2.35}

---

{"formula": "TmPu2Mn2", "functional": "PBE", "state": "relaxed", "cell": [[4.021, 0.000, 0.000], [-0.033, 4.943, 0.000], [-1.296, -2.479, 5.242]], "species": ["Tm", "Pu", "Pu", "Mn", "Mn"], "frac_coords": [[0.000, 0.000, 0.000], [0.241, 0.715, 0.430], [0.759, 0.285, 0.570], [0.291, 0.400, 0.797], [0.709, 0.600, 0.203]], "energy_ev_per_atom": -10.14}

---

{"formula": "LaNdZn", "functional": "PBE", "state": "relaxed", "cell": [[-2.576, 2.576, 3.634], [2.576, -2.576, 3.634], [2.576, 2.576, -3.634]], "species": ["La", "Nd", "Zn"], "frac_coords": [[0.000, 0.000, 0.000], [0.500, 0.500, 0.000], [0.750, 0.250, 0.500]], "energy_ev_per_atom": -3.64}

---

{"formula": "Zn5AgPd2", "functional": "PBE", "state": "relaxed", "cell": [[-2.239, 2.239, 5.994], [2.239, -2.239, 5.994], [2.239, 2.239, -5.994]], "species": ["Zn", "Zn", "Zn", "Zn", "Zn", "Ag", "Pd", "Pd"], "frac_coords": [[0.000, 0.000, 0.000], [0.131, 0.631, 0.500], [0.369, 0.869, 0.500], [0.631, 0.131, 0.500], [0.869, 0.369, 0.500], [0.500, 0.500, 0.000], [0.245, 0.245, 0.000], [0.755, 0.755, 0.000]], "energy_ev_per_atom": -2.73}

---

{"formula": "Ac3YOs2N6", "functional": "PBE", "state": "relaxed", "cell": [[6.073, 0.000, 0.000], [-3.037, 5.260, 0.000], [0.000, 0.000, 6.829]], "species": ["Ac", "Ac", "Ac", "Y", "Os", "Os", "N", "N", "N", "N", "N", "N"], "frac_coords": [[0.000, 0.000, 0.000], [0.333, 0.667, 0.689], [0.667, 0.333, 0.311], [0.000, 0.000, 0.500], [0.333, 0.667, 0.185], [0.667, 0.333, 0.815], [0.171, 0.342, 0.289], [0.171, 0.829, 0.289], [0.342, 0.171, 0.711], [0.658, 0.829, 0.289], [0.829, 0.171, 0.711], [0.829, 0.658, 0.711]], "formation_energy_uncorrected_ev_per_atom": -0.6477, "energy_ev_per_atom": -8.25}

---

{"formula": "NaY3Er3Te8", "functional": "PBE", "state": "relaxed", "cell": [[4.338, 2.504, 7.089], [-4.338, 2.504, 7.089], [0.000, -5.009, 7.089]], "species": ["Na", "Y", "Y", "Y", "Er", "Er", "Er", "Te", "Te", "Te", "Te", "Te", "Te", "Te", "Te"], "frac_coords": [[0.000, 0.000, 0.000], [0.000, 0.000, 0.500], [0.000, 0.500, 0.000], [0.500, 0.000, 0.000], [0.000, 0.500, 0.500], [0.500, 0.000, 0.500], [0.500, 0.500, 0.000], [0.251, 0.251, 0.251], [0.257, 0.257, 0.740], [0.257, 0.740, 0.257], [0.260, 0.743, 0.743], [0.740, 0.257, 0.257], [0.743, 0.260, 0.743], [0.743, 0.743, 0.260], [0.749, 0.749, 0.749]], "formation_energy_uncorrected_ev_per_atom": -1.3101, "energy_ev_per_atom": -5.28}

---

{"formula": "KSe2Br2", "functional": "PBE", "state": "relaxed", "cell": [[8.859, 0.000, 0.000], [0.000, 8.859, 0.000], [0.000, 0.000, 4.574]], "species": ["K", "K", "Se", "Se", "Se", "Se", "Br", "Br", "Br", "Br"], "frac_coords": [[0.000, 0.000, 0.000], [0.500, 0.500, 0.000], [0.087, 0.413, 0.000], [0.413, 0.913, 0.000], [0.587, 0.087, 0.000], [0.913, 0.587, 0.000], [0.249, 0.749, 0.500], [0.251, 0.249, 0.500], [0.749, 0.751, 0.500], [0.751, 0.251, 0.500]], "formation_energy_uncorrected_ev_per_atom": -0.4583, "energy_ev_per_atom": -2.74}